1.
DFT (PBE) results for crystalline CrIr2Br at its relaxed geometry.

Properties
The value obtained for the density of states at the Fermi level is 3.84 states/eV/cell. The value obtained for the energy above the lowest structure with this stoichiometry is 193.8 meV/atom. As for the formation energy from raw total energies: 0.603 eV/atom. Its symmetry is Immm, No. 71.

Cell lengths 5.803, 5.803, 5.803 Å; angles 151.72, 134.55, 54.39 degrees
Positions (direct):
Br 0.250 0.750 0.500
Ir 0.969 0.969 0.000
Ir 0.531 0.531 0.000
Cr 0.750 0.250 0.500

2.
DFT (PBE) results for crystalline NaBS2N at its relaxed geometry.

Properties
The value obtained for the density of states at the Fermi level is 3.13 states/eV/cell. The value obtained for the energy above the lowest structure with this stoichiometry is 0.0 meV/atom. As for the formation energy from raw total energies: 0.002 eV/atom. Its symmetry is P4/mmm, No. 123.

Cell lengths 5.835, 5.835, 2.586 Å; angles 90.00, 90.00, 90.00 degrees
Positions (direct):
S 0.500 0.000 0.000
S 0.000 0.500 0.000
N 0.000 0.000 0.500
B 0.000 0.000 0.000
Na 0.500 0.500 0.500